A plane-wave DFT calculation with PBE-GGA was carried out for crystalline TaNiAg2 at its relaxed geometry.

Summary:
size of the total moment: 0.001 μB per atom

a = 9.4914 Å, b = 9.4914 Å, c = 9.4914 Å
α = 17.18°, β = 17.18°, γ = 17.18°
Last column: nearest neighbours and their distance in Å.
Positions (direct):
Ta (0.7500, 0.7500, 0.7500)  6 Ta 2.84, 6 Ag 3.00
Ag (0.5061, 0.5061, 0.5061)  3 Ni 2.71, 6 Ag 2.84, 3 Ta 3.00
Ag (0.9939, 0.9939, 0.9939)  3 Ni 2.71, 6 Ag 2.84, 3 Ta 3.00
Ni (0.2500, 0.2500, 0.2500)  6 Ag 2.71, 6 Ni 2.84

=====

A plane-wave DFT calculation with PBE-GGA was carried out for crystalline TaNiAg2 at its relaxed geometry.

Summary:
size of the total moment: 0.000 μB per atom

a = 2.8263 Å, b = 2.8263 Å, c = 8.0895 Å
α = 90.00°, β = 90.00°, γ = 91.46°
Last column: nearest neighbours and their distance in Å.
Positions (direct):
Ag (0.0000, 0.0000, 0.9994)  8 Ag 2.83-3.00, 4 Ta 3.00-3.03
Ag (0.5000, 0.5000, 0.2727)  4 Ni 2.74-2.78, 8 Ag 2.83-3.00
Ni (0.0000, 0.0000, 0.5076)  4 Ta 2.62-2.66, 4 Ag 2.74-2.78, 4 Ni 2.83
Ta (0.5000, 0.5000, 0.7203)  4 Ni 2.62-2.66, 4 Ta 2.83

=====

A plane-wave DFT calculation with PBE-GGA was carried out for crystalline Ta2NiAg at its relaxed geometry.

Summary:
size of the total moment: 0.001 μB per atom

a = 5.0267 Å, b = 5.0267 Å, c = 5.0267 Å
α = 133.79°, β = 133.79°, γ = 67.41°
Last column: nearest neighbours and their distance in Å.
Positions (direct):
Ta (0.2500, 0.7500, 0.5000)  4 Ni 2.79, 4 Ag 2.87, 4 Ta 2.87
Ta (0.0000, 0.0000, 0.0000)  4 Ag 2.79, 4 Ta 2.87, 4 Ni 2.87
Ag (0.5000, 0.5000, 0.0000)  8 Ta 2.79-2.87, 4 Ni 2.87
Ni (0.7500, 0.2500, 0.5000)  8 Ta 2.79-2.87, 4 Ag 2.87

=====

A plane-wave DFT calculation with PBE-GGA was carried out for crystalline Ta2NiAg at its relaxed geometry.

Summary:
size of the total moment: 0.000 μB per atom

a = 4.9776 Å, b = 6.2215 Å, c = 2.7984 Å
α = 63.71°, β = 89.76°, γ = 120.03°
Last column: nearest neighbours and their distance in Å.
Positions (direct):
Ag (0.5000, 0.5000, 0.0000)  2 Ni 2.79, 2 Ag 2.80, 8 Ta 2.85-2.86
Ta (0.0000, 0.5000, 0.5000)  4 Ta 2.79-2.80, 4 Ag 2.85-2.86, 4 Ni 2.85-2.86
Ta (0.0000, 0.0000, 0.0000)  4 Ta 2.79-2.80, 4 Ni 2.85-2.86, 4 Ag 2.85-2.86
Ni (0.5000, 0.0000, 0.5000)  2 Ag 2.79, 2 Ni 2.80, 8 Ta 2.85-2.86

=====

A plane-wave DFT calculation with PBE-GGA was carried out for crystalline TaNiAg2 at its relaxed geometry.

Summary:
size of the total moment: 0.000 μB per atom

a = 4.6337 Å, b = 4.6337 Å, c = 4.6337 Å
α = 125.41°, β = 125.41°, γ = 80.87°
Last column: nearest neighbours and their distance in Å.
Positions (direct):
Ag (0.0000, 0.0000, 0.0000)  4 Ta 2.76, 4 Ag 2.76, 4 Ni 3.01
Ag (0.2500, 0.7500, 0.5000)  4 Ni 2.76, 4 Ag 2.76, 4 Ta 3.01
Ta (0.7500, 0.2500, 0.5000)  8 Ag 2.76-3.01, 4 Ni 2.76
Ni (0.5000, 0.5000, 0.0000)  8 Ag 2.76-3.01, 4 Ta 2.76

=====

A plane-wave DFT calculation with PBE-GGA was carried out for crystalline Ta2NiAg at its relaxed geometry.

Summary:
size of the total moment: 0.000 μB per atom

a = 3.9502 Å, b = 3.9502 Å, c = 4.1148 Å
α = 90.00°, β = 90.00°, γ = 90.00°
Last column: nearest neighbours and their distance in Å.
Positions (direct):
Ni (0.0000, 0.5000, 0.5000)  4 Ag 2.79, 8 Ta 2.85
Ta (0.5000, 0.5000, 0.0000)  4 Ta 2.79, 4 Ni 2.85, 4 Ag 2.85
Ta (0.0000, 0.0000, 0.0000)  4 Ta 2.79, 4 Ni 2.85, 4 Ag 2.85
Ag (0.5000, 0.0000, 0.5000)  4 Ni 2.79, 8 Ta 2.85

=====

Summary of final energy in eV per atom
-5.50; -5.74; -7.76; -7.89; -5.51; -7.90
(order as listed above)